The following is a PBE calculation of LiLa3Ce4S8 after structural relaxation, from Alexandria.

Calculated values
The uncorrected formation energy comes out at -1.994 eV/atom. Its space group is No. 166.

Cell and atoms, written as POSCAR:
```
LiLa3Ce4S8
1.0
-0.8940 5.8309 -5.5914
-8.0767 -0.0913 1.1962
5.0122 1.1428 6.2978
Li La Ce S
1 3 4 8
Direct
0.0000 0.5000 0.0000
0.5000 0.5000 0.0000
0.5000 0.5000 0.5000
0.0000 0.5000 0.5000
0.5000 0.0000 0.0000
0.5000 0.0000 0.5000
0.0000 0.0000 0.0000
0.0000 0.0000 0.5000
0.2461 0.7519 0.0058
0.2460 0.7518 0.4920
0.2473 0.2420 0.4946
0.7597 0.7519 0.0058
0.2403 0.2481 0.9942
0.7527 0.7580 0.5054
0.7540 0.2482 0.5080
0.7539 0.2481 0.9942
```



The following is a PBE calculation of Li2LaCeS4 after structural relaxation, from Alexandria.

Calculated values
The uncorrected formation energy comes out at -1.772 eV/atom. Its space group is No. 10.

Cell and atoms, written as POSCAR:
```
Li2LaCeS4
1.0
-3.0262 2.7811 -0.2205
-1.9478 -2.5769 -5.7717
-4.8138 -5.1586 1.0006
Li La Ce S
2 1 1 4
Direct
0.0000 0.0000 0.0000
0.5000 0.0000 0.5000
0.5000 0.5000 0.0000
0.0000 0.5000 0.5000
0.0000 0.7573 0.7433
0.0000 0.2427 0.2567
0.5000 0.7563 0.2526
0.5000 0.2437 0.7474
```



The following is a PBE calculation of LiLa2Ce3S6 after structural relaxation, from Alexandria.

Calculated values
The uncorrected formation energy comes out at -1.965 eV/atom. Its space group is No. 12.

Cell and atoms, written as POSCAR:
```
LiLa2Ce3S6
1.0
-2.6112 -3.7282 -5.3417
6.9242 1.0137 0.5277
-0.9069 -4.6564 5.2353
Li La Ce S
1 2 3 6
Direct
0.0000 0.0000 0.0000
0.3338 0.6662 0.0000
0.6662 0.3338 0.0000
0.1674 0.8326 0.5000
0.8326 0.1674 0.5000
0.5000 0.5000 0.5000
0.9169 0.5938 0.7499
0.7607 0.7607 0.2515
0.0831 0.4062 0.2501
0.5938 0.9169 0.7499
0.2393 0.2393 0.7485
0.4062 0.0831 0.2501
```



The following is a PBE calculation of LiLaCeS4 after structural relaxation, from Alexandria.

Calculated values
The uncorrected formation energy comes out at -1.677 eV/atom. Its space group is No. 63.

Cell and atoms, written as POSCAR:
```
LiLaCeS4
1.0
5.8886 0.0000 0.0000
0.0000 6.5627 0.0000
-2.9443 0.0000 7.6450
Li La Ce S
2 2 2 8
Direct
0.2770 0.7500 0.5540
0.7230 0.2500 0.4460
0.6163 0.7500 0.2325
0.3837 0.2500 0.7675
0.1185 0.2500 0.2369
0.8815 0.7500 0.7631
0.9378 0.2500 0.8757
0.4307 0.7500 0.8613
0.0622 0.7500 0.1243
0.5693 0.2500 0.1387
0.5000 0.5000 0.5000
0.0000 0.0000 0.5000
0.5000 0.0000 0.5000
0.0000 0.5000 0.5000
```



The following is a PBE calculation of LiLa3Ce2S6 after structural relaxation, from Alexandria.

Calculated values
The uncorrected formation energy comes out at -1.995 eV/atom. Its space group is No. 12.

Cell and atoms, written as POSCAR:
```
LiLa3Ce2S6
1.0
-4.4643 -4.1894 -3.5258
4.8376 -2.8096 4.3146
-4.4304 2.6900 4.7828
Li La Ce S
1 3 2 6
Direct
0.0000 0.0000 0.0000
0.1663 0.8337 0.5000
0.8337 0.1663 0.5000
0.5000 0.5000 0.5000
0.3341 0.6659 0.0000
0.6659 0.3341 0.0000
0.9212 0.5938 0.7629
0.7523 0.7523 0.2369
0.0788 0.4062 0.2371
0.5938 0.9212 0.7629
0.2477 0.2477 0.7631
0.4062 0.0788 0.2371
```



The following is a PBE calculation of LiLaCe2S4 after structural relaxation, from Alexandria.

Calculated values
The uncorrected formation energy comes out at -1.900 eV/atom. Its space group is No. 74.

Cell and atoms, written as POSCAR:
```
LiLaCe2S4
1.0
8.0891 0.0072 -0.0156
0.0015 8.0891 -0.0156
-4.0140 -4.0168 5.7381
Li La Ce S
2 2 4 8
Direct
0.5000 0.5000 0.5000
0.0000 0.0000 0.0000
0.0000 0.5000 0.0000
0.0000 0.5000 0.5000
0.5000 0.0000 0.0000
0.5000 0.0000 0.5000
0.0000 0.0000 0.5000
0.5000 0.5000 0.0000
0.2504 0.7602 0.0053
0.7398 0.2496 0.4947
0.2602 0.7503 0.5053
0.7497 0.2398 0.9947
0.7472 0.7528 0.9949
0.7472 0.7528 0.5051
0.2528 0.2473 0.4949
0.2528 0.2472 0.0051
```



The following is a PBE calculation of LiLaCeSc after structural relaxation, from Alexandria.

Calculated values
Its space group is No. 216. For the formation energy, the calculation gives 0.21 eV/atom.

Cell and atoms, written as POSCAR:
```
LiLaCeSc
1.0
-1.9711 4.8538 -1.4633
-1.7403 0.8065 -5.0899
-5.3148 0.5892 -0.9958
Sc Li Ce La
1 1 1 1
Direct
0.2500 0.2500 0.2500
0.7500 0.7500 0.7500
0.5000 0.5000 0.5000
0.0000 0.0000 0.0000
```



The following is a PBE calculation of LiLa2CeSe4 after structural relaxation, from Alexandria.

Calculated values
The uncorrected formation energy comes out at -1.807 eV/atom. Its space group is No. 10.

Cell and atoms, written as POSCAR:
```
LiLa2CeSe4
1.0
4.2462 0.0000 0.0000
0.0000 7.3469 0.1278
0.0000 -2.5696 6.8353
Li La Ce Se
1 2 1 4
Direct
0.0000 0.0000 0.0000
0.5000 0.0000 0.5000
0.0000 0.5000 0.5000
0.5000 0.5000 0.0000
0.5000 0.2410 0.2368
0.5000 0.7590 0.7632
0.0000 0.2468 0.7616
0.0000 0.7532 0.2384
```



| no. | calculated volume (Å³ per cell) |
| --- | --- |
| 1 | 382.34 |
| 2 | 181.12 |
| 3 | 283.97 |
| 4 | 295.44 |
| 5 | 286.82 |
| 6 | 374.45 |
| 7 | 113.79 |
| 8 | 214.63 |